(1)
{"formula": "MnFeAs", "functional": "GGA-PBEsol", "state": "relaxed", "ef_mev_per_atom": -119, "magnetic_moment_mub_per_cell": 2.00, "dft_energy_ev_per_atom": -8.0631, "dos_ef_per_ev_fu": 3.02, "lattice_angstrom": [[-2.853, -0.853, -2.410], [0.738, -1.890, -3.250], [-1.143, -3.634, -0.405]], "species": ["As", "Fe", "Mn"], "fractional_positions": [[0.500, 0.500, 0.500], [0.250, 0.250, 0.250], [0.000, 0.000, 0.000]]}

---

(2)
{"formula": "TlAgSe", "functional": "GGA-PBEsol", "state": "relaxed", "magnetic_moment_mub_per_cell": 0.00, "dft_energy_ev_per_atom": -3.2673, "dos_ef_per_ev_fu": 0.80, "e_above_lowest_polymorph_mev_per_atom": 212, "formation_energy_uncorrected_ev_per_atom": 0.00, "lattice_angstrom": [[-1.836, 2.366, 2.092], [-3.050, -0.702, -1.884], [1.229, -4.829, 3.350]], "species": ["Se", "Tl", "Ag"], "fractional_positions": [[0.378, 0.378, 0.756], [0.671, 0.671, 0.342], [0.951, 0.951, 0.902]]}

---

(3)
{"formula": "ZrCr2Si", "functional": "GGA-PBEsol", "state": "relaxed", "magnetic_moment_mub_per_cell": 0.00, "dft_energy_ev_per_atom": -8.7273, "dos_ef_per_ev_fu": 4.66, "formation_energy_uncorrected_ev_per_atom": 0.10, "lattice_angstrom": [[2.688, 0.004, 0.000], [-0.470, 4.914, 0.000], [-1.109, -2.459, 4.191]], "species": ["Cr", "Cr", "Si", "Zr"], "fractional_positions": [[0.500, 0.500, 0.500], [0.000, 0.000, 0.500], [0.500, 0.000, 0.000], [0.000, 0.500, 0.000]]}

---

(4)
{"formula": "TaPRh2", "functional": "GGA-PBEsol", "state": "relaxed", "ef_mev_per_atom": -239, "magnetic_moment_mub_per_cell": 0.00, "dft_energy_ev_per_atom": -8.8941, "dos_ef_per_ev_fu": 2.59, "lattice_angstrom": [[2.793, 0.000, 0.000], [-0.213, 4.591, 0.000], [-1.290, -2.295, 4.436]], "species": ["P", "Rh", "Rh", "Ta"], "fractional_positions": [[0.500, 0.000, 0.000], [0.500, 0.500, 0.500], [0.000, 0.000, 0.500], [0.000, 0.500, 0.000]]}

---

(5)
{"formula": "LaSb2W", "functional": "GGA-PBEsol", "state": "relaxed", "magnetic_moment_mub_per_cell": 0.00, "dft_energy_ev_per_atom": -6.9918, "dos_ef_per_ev_fu": 2.80, "formation_energy_uncorrected_ev_per_atom": 0.08, "lattice_angstrom": [[-0.541, -0.973, 3.441], [3.457, 0.748, 0.755], [-1.843, 6.852, 1.648]], "species": ["Sb", "Sb", "La", "W"], "fractional_positions": [[0.500, 0.500, 0.293], [0.000, 0.000, 0.034], [0.500, 0.500, 0.740], [0.000, 0.000, 0.434]]}

---

(6)
{"formula": "TaCuSn2H", "functional": "GGA-PBEsol", "state": "relaxed", "magnetic_moment_mub_per_cell": 0.00, "dft_energy_ev_per_atom": -5.3835, "dos_ef_per_ev_fu": 2.76, "lattice_angstrom": [[-3.311, -1.447, -0.098], [0.578, -1.017, -4.518], [1.781, -4.154, 1.163]], "species": ["H", "Sn", "Sn", "Ta", "Cu"], "fractional_positions": [[0.000, 0.000, 0.000], [0.000, 0.500, 0.000], [0.000, 0.000, 0.500], [0.500, 0.000, 0.000], [0.500, 0.500, 0.500]]}

---

(7)
{"formula": "La7Ni2P", "functional": "GGA-PBEsol", "state": "relaxed", "ef_mev_per_atom": -371, "magnetic_moment_mub_per_cell": 0.00, "dft_energy_ev_per_atom": -5.9237, "dos_ef_per_ev_fu": 10.99, "lattice_angstrom": [[3.760, 0.000, 0.000], [0.000, 11.932, 0.000], [0.000, 0.000, 11.932]], "species": ["La", "La", "La", "La", "La", "La", "La", "La", "La", "La", "La", "La", "La", "La", "Ni", "Ni", "Ni", "Ni", "P", "P"], "fractional_positions": [[0.000, 0.678, 0.178], [0.000, 0.822, 0.678], [0.500, 0.303, 0.560], [0.500, 0.500, 0.000], [0.000, 0.322, 0.822], [0.500, 0.697, 0.440], [0.500, 0.197, 0.060], [0.500, 0.000, 0.500], [0.500, 0.940, 0.197], [0.000, 0.178, 0.322], [0.500, 0.560, 0.697], [0.500, 0.060, 0.803], [0.500, 0.803, 0.940], [0.500, 0.440, 0.303], [0.000, 0.870, 0.370], [0.000, 0.370, 0.130], [0.000, 0.130, 0.630], [0.000, 0.630, 0.870], [0.000, 0.000, 0.000], [0.000, 0.500, 0.500]]}

---

(8)
{"formula": "Hg2SbI", "functional": "GGA-PBEsol", "state": "relaxed", "magnetic_moment_mub_per_cell": 0.00, "dft_energy_ev_per_atom": -1.9287, "dos_ef_per_ev_fu": 0.77, "formation_energy_uncorrected_ev_per_atom": -0.06, "lattice_angstrom": [[-0.175, -4.221, 5.020], [0.877, -4.992, -4.167], [6.508, 5.197, 0.309]], "species": ["Hg", "Hg", "Hg", "Hg", "I", "I", "Sb", "Sb"], "fractional_positions": [[0.625, 0.571, 0.750], [0.429, 0.875, 0.250], [0.125, 0.179, 0.750], [0.821, 0.375, 0.250], [0.250, 0.750, 0.500], [0.000, 0.000, 0.000], [0.750, 0.250, 0.500], [0.500, 0.500, 0.000]]}

---

(9)
{"formula": "InTeCl", "functional": "GGA-PBEsol", "state": "relaxed", "magnetic_moment_mub_per_cell": 0.00, "dft_energy_ev_per_atom": -3.0691, "dos_ef_per_ev_fu": 1.12, "formation_energy_uncorrected_ev_per_atom": -0.23, "lattice_angstrom": [[-0.149, -3.282, 0.639], [0.010, -2.607, -4.623], [4.452, -2.260, -1.801]], "species": ["Te", "In", "Cl"], "fractional_positions": [[0.321, 0.679, 0.679], [0.684, 0.316, 0.316], [0.995, 0.005, 0.005]]}

---

(10)
{"formula": "NiHgSb2Te", "functional": "GGA-PBEsol", "state": "relaxed", "magnetic_moment_mub_per_cell": 0.62, "dft_energy_ev_per_atom": -2.5141, "dos_ef_per_ev_fu": 7.96, "formation_energy_uncorrected_ev_per_atom": 1.36, "lattice_angstrom": [[5.380, 0.000, 0.000], [0.000, 5.380, 0.000], [0.000, 0.000, 5.520]], "species": ["Sb", "Sb", "Te", "Ni", "Hg"], "fractional_positions": [[0.000, 0.500, 0.000], [0.500, 0.000, 0.000], [0.000, 0.000, 0.500], [0.500, 0.500, 0.500], [0.000, 0.000, 0.000]]}

---

(11)
{"formula": "Mg3Sb", "functional": "GGA-PBEsol", "state": "relaxed", "magnetic_moment_mub_per_cell": 0.00, "dft_energy_ev_per_atom": -1.8476, "dos_ef_per_ev_fu": 3.89, "e_above_lowest_polymorph_mev_per_atom": 771, "formation_energy_uncorrected_ev_per_atom": 0.58, "lattice_angstrom": [[-3.360, -4.269, 1.544], [2.189, 0.159, 5.204], [-3.977, 3.695, 1.560]], "species": ["Mg", "Mg", "Mg", "Sb"], "fractional_positions": [[0.500, 0.000, 0.000], [0.000, 0.000, 0.500], [0.000, 0.500, 0.000], [0.000, 0.000, 0.000]]}

---

(12)
{"formula": "Ru5Pt", "functional": "GGA-PBEsol", "state": "relaxed", "ef_mev_per_atom": 4, "magnetic_moment_mub_per_cell": 0.00, "dft_energy_ev_per_atom": -9.6337, "dos_ef_per_ev_fu": 4.74, "e_above_lowest_polymorph_mev_per_atom": 0, "lattice_angstrom": [[4.285, 0.000, 0.000], [0.000, 4.677, 0.000], [0.000, -2.339, 4.051]], "species": ["Ru", "Ru", "Ru", "Ru", "Ru", "Pt"], "fractional_positions": [[0.000, 0.000, 0.662], [0.000, 0.338, 0.338], [0.000, 0.662, 0.000], [0.500, 0.333, 0.667], [0.500, 0.667, 0.333], [0.500, 0.000, 0.000]]}